A plane-wave DFT calculation with PBE was carried out for a geometry-optimized MnGaAsSe2 structure.

Summary:
Volume ... 22.69 A^3/atom
D(E_F) ... 4.33 states/eV/f.u.
Energy relative to the lowest polymorph listed for this composition ... 21.79 kcal/mol of atoms
Total moment ... 0.25 μB/f.u.
Space group ... P4/mmm (123)
Formation energy (no corrections) ... 540 kJ/mol of formula units
VASP energy ... -3.64 eV/atom

Unit cell a=4.8844 b=4.8844 c=4.7563 alpha=90.00 beta=90.00 gamma=90.00
Last column: nearest neighbours and their distance in Å.
Sites, in units of the cell vectors:
Mn: 0.0000 0.0000 0.0000  8 Se 3.41, 4 As 3.45
Ga: 0.5000 0.5000 0.5000  2 As 2.38, 4 Se 2.44
As: 0.5000 0.5000 0.0000  2 Ga 2.38
Se: 0.0000 0.5000 0.5000  2 Ga 2.44
Se: 0.5000 0.0000 0.5000  2 Ga 2.44


A plane-wave DFT calculation with PBE was carried out for a geometry-optimized MnGaAsSe2 structure.

Summary:
Volume ... 21.31 A^3/atom
D(E_F) ... 3.61 states/eV/f.u.
Energy relative to the lowest polymorph listed for this composition ... 0.00 kcal/mol of atoms
Total moment ... 2.45 μB/f.u.
Space group ... P4/mmm (123)
Formation energy (no corrections) ... 84 kJ/mol of formula units
VASP energy ... -4.59 eV/atom

Unit cell a=4.8578 b=4.8578 c=4.5143 alpha=90.00 beta=90.00 gamma=90.00
Last column: nearest neighbours and their distance in Å.
Sites, in units of the cell vectors:
Mn: 0.0000 0.0000 0.0000  2 As 2.26, 4 Se 2.43
Ga: 0.5000 0.5000 0.5000  8 Se 3.32, 4 As 3.43
As: 0.0000 0.0000 0.5000  2 Mn 2.26
Se: 0.0000 0.5000 0.0000  2 Mn 2.43
Se: 0.5000 0.0000 0.0000  2 Mn 2.43


A plane-wave DFT calculation with PBE was carried out for a geometry-optimized GaMo2As2 structure.

Summary:
Volume ... 17.12 A^3/atom
D(E_F) ... 2.95 states/eV/f.u.
Energy relative to the lowest polymorph listed for this composition ... 4.78 kcal/mol of atoms
Total moment ... 0.00 μB/f.u.
Space group ... I4/mmm (139)
E_form ... 0.200 eV per atom
VASP energy ... -6.60 eV/atom

Unit cell a=6.9468 b=6.9468 c=6.9468 alpha=149.60 beta=149.60 gamma=43.53
Last column: nearest neighbours and their distance in Å.
Sites, in units of the cell vectors:
Ga: 0.0000 0.0000 0.0000  8 Mo 2.93
Mo: 0.3920 0.3920 0.0000  4 As 2.58, 1 Mo 2.79
Mo: 0.6080 0.6080 0.0000  4 As 2.58, 1 Mo 2.79
As: 0.2500 0.7500 0.5000  4 As 2.58, 4 Mo 2.58
As: 0.7500 0.2500 0.5000  4 As 2.58, 4 Mo 2.58


A plane-wave DFT calculation with PBE was carried out for a geometry-optimized GaMo2As2 structure.

Summary:
Volume ... 16.54 A^3/atom
D(E_F) ... 5.26 states/eV/f.u.
Energy relative to the lowest polymorph listed for this composition ... 0.00 kcal/mol of atoms
Total moment ... 0.00 μB/f.u.
Space group ... P4/mbm (127)
E_form ... -0.007 eV per atom
VASP energy ... -6.80 eV/atom

Unit cell a=7.1100 b=7.1100 c=3.2719 alpha=90.00 beta=90.00 gamma=90.00
Last column: nearest neighbours and their distance in Å.
Sites, in units of the cell vectors:
Ga: 0.0000 0.0000 0.0000  4 Mo 2.71
Ga: 0.5000 0.5000 0.0000  4 Mo 2.71
Mo: 0.1495 0.3505 0.0000  6 As 2.64-2.66, 2 Ga 2.71
Mo: 0.3505 0.8505 0.0000  6 As 2.64-2.66, 2 Ga 2.71
Mo: 0.6495 0.1495 0.0000  6 As 2.64-2.66, 2 Ga 2.71
Mo: 0.8505 0.6495 0.0000  6 As 2.64-2.66, 2 Ga 2.71
As: 0.1450 0.6450 0.5000  6 Mo 2.64-2.66, 1 As 2.92
As: 0.3550 0.1450 0.5000  6 Mo 2.64-2.66, 1 As 2.92
As: 0.6450 0.8550 0.5000  6 Mo 2.64-2.66, 1 As 2.92
As: 0.8550 0.3550 0.5000  6 Mo 2.64-2.66, 1 As 2.92


A plane-wave DFT calculation with PBE was carried out for a geometry-optimized GaMoAs2 structure.

Summary:
Volume ... 24.17 A^3/atom
D(E_F) ... 2.60 states/eV/f.u.
Total moment ... 1.28 μB/f.u.
Space group ... I-42d (122)
E_form ... 0.228 eV per atom
VASP energy ... -5.56 eV/atom

Unit cell a=7.0299 b=7.0299 c=7.0299 alpha=131.04 beta=131.04 gamma=71.75
Last column: nearest neighbours and their distance in Å.
Sites, in units of the cell vectors:
Ga: 0.0000 0.0000 0.0000  4 As 2.55
Ga: 0.7500 0.2500 0.5000  4 As 2.55
Mo: 0.2500 0.7500 0.5000  4 As 2.46
Mo: 0.5000 0.5000 0.0000  4 As 2.46
As: 0.1369 0.6250 0.0119  2 Mo 2.46, 2 Ga 2.55
As: 0.3750 0.3869 0.5119  2 Mo 2.46, 2 Ga 2.55
As: 0.6131 0.1250 0.9881  2 Mo 2.46, 2 Ga 2.55
As: 0.8750 0.8631 0.4881  2 Mo 2.46, 2 Ga 2.55


A plane-wave DFT calculation with PBE was carried out for a geometry-optimized Ga3MoAs structure.

Summary:
Volume ... 23.97 A^3/atom
D(E_F) ... 2.57 states/eV/f.u.
Energy relative to the lowest polymorph listed for this composition ... 7.59 kcal/mol of atoms
Total moment ... 3.96 μB/f.u.
Space group ... Pm-3m (221)
E_form ... 1.063 eV per atom
VASP energy ... -3.85 eV/atom

Unit cell a=4.9300 b=4.9300 c=4.9300 alpha=90.00 beta=90.00 gamma=90.00
Last column: nearest neighbours and their distance in Å.
Sites, in units of the cell vectors:
Ga: 0.0000 0.0000 0.5000  2 As 2.47
Ga: 0.0000 0.5000 0.0000  2 As 2.47
Ga: 0.5000 0.0000 0.0000  2 As 2.47
Mo: 0.5000 0.5000 0.5000  12 Ga 3.49
As: 0.0000 0.0000 0.0000  6 Ga 2.47


A plane-wave DFT calculation with PBE was carried out for a geometry-optimized Ga2MoAs structure.

Summary:
Volume ... 17.92 A^3/atom
D(E_F) ... 4.09 states/eV/f.u.
Total moment ... 0.75 μB/f.u.
Space group ... I-42d (122)
E_form ... 0.418 eV per atom
VASP energy ... -4.97 eV/atom

Unit cell a=5.8627 b=5.8627 c=5.8627 alpha=101.28 beta=101.28 gamma=127.51
Last column: nearest neighbours and their distance in Å.
Sites, in units of the cell vectors:
Ga: 0.1236 0.6250 0.9986  2 Ga 2.59, 2 Mo 2.70, 2 As 2.71
Ga: 0.3750 0.3736 0.4986  2 Ga 2.59, 2 Mo 2.70, 2 As 2.71
Ga: 0.6264 0.1250 0.0014  2 Ga 2.59, 2 Mo 2.70, 2 As 2.71
Ga: 0.8750 0.8764 0.5014  2 Ga 2.59, 2 Mo 2.70, 2 As 2.71
Mo: 0.0000 0.0000 0.0000  2 As 2.59, 4 Ga 2.70
Mo: 0.7500 0.2500 0.5000  2 As 2.59, 4 Ga 2.70
As: 0.2500 0.7500 0.5000  2 Mo 2.59, 4 Ga 2.71
As: 0.5000 0.5000 0.0000  2 Mo 2.59, 4 Ga 2.71


A plane-wave DFT calculation with PBE was carried out for a geometry-optimized Ga2Mo2As structure.

Summary:
Volume ... 16.55 A^3/atom
D(E_F) ... 4.35 states/eV/f.u.
Total moment ... 0.00 μB/f.u.
Space group ... P4/mbm (127)
E_form ... 0.013 eV per atom
VASP energy ... -6.46 eV/atom

Unit cell a=6.6687 b=6.6687 c=3.7216 alpha=90.00 beta=90.00 gamma=90.00
Last column: nearest neighbours and their distance in Å.
Sites, in units of the cell vectors:
Ga: 0.1402 0.3598 0.0000  6 Mo 2.64-2.74, 1 Ga 2.64
Ga: 0.3598 0.8598 0.0000  6 Mo 2.64-2.74, 1 Ga 2.64
Ga: 0.6402 0.1402 0.0000  6 Mo 2.64-2.74, 1 Ga 2.64
Ga: 0.8598 0.6402 0.0000  6 Mo 2.64-2.74, 1 Ga 2.64
Mo: 0.1616 0.6616 0.5000  2 As 2.50, 6 Ga 2.64-2.74
Mo: 0.3384 0.1616 0.5000  2 As 2.50, 6 Ga 2.64-2.74
Mo: 0.6616 0.8384 0.5000  2 As 2.50, 6 Ga 2.64-2.74
Mo: 0.8384 0.3384 0.5000  2 As 2.50, 6 Ga 2.64-2.74
As: 0.0000 0.0000 0.5000  4 Mo 2.50
As: 0.5000 0.5000 0.5000  4 Mo 2.50


A plane-wave DFT calculation with PBE was carried out for a geometry-optimized GaMo2As structure.

Summary:
Volume ... 16.94 A^3/atom
D(E_F) ... 3.04 states/eV/f.u.
Energy relative to the lowest polymorph listed for this composition ... 4.73 kcal/mol of atoms
Total moment ... 0.00 μB/f.u.
Space group ... I-42d (122)
E_form ... 0.319 eV per atom
VASP energy ... -7.02 eV/atom

Unit cell a=9.6832 b=9.6832 c=9.6832 alpha=157.26 beta=157.26 gamma=32.38
Last column: nearest neighbours and their distance in Å.
Sites, in units of the cell vectors:
Ga: 0.0000 0.0000 0.0000  4 Mo 2.69, 4 As 2.70
Ga: 0.7500 0.2500 0.5000  4 Mo 2.69, 4 As 2.70
Mo: 0.1253 0.6250 0.0003  2 As 2.69, 2 Ga 2.69, 4 Mo 2.70
Mo: 0.3750 0.3753 0.5003  2 As 2.69, 2 Ga 2.69, 4 Mo 2.70
Mo: 0.6247 0.1250 0.9997  2 As 2.69, 2 Ga 2.69, 4 Mo 2.70
Mo: 0.8750 0.8747 0.4997  2 As 2.69, 2 Ga 2.69, 4 Mo 2.70
As: 0.2500 0.7500 0.5000  4 Mo 2.69, 4 Ga 2.70
As: 0.5000 0.5000 0.0000  4 Mo 2.69, 4 Ga 2.70


A plane-wave DFT calculation with PBE was carried out for a geometry-optimized Ga3MoAs structure.

Summary:
Volume ... 24.12 A^3/atom
D(E_F) ... 5.36 states/eV/f.u.
Energy relative to the lowest polymorph listed for this composition ... 0.00 kcal/mol of atoms
Total moment ... 1.98 μB/f.u.
Space group ... Pm-3m (221)
E_form ... 0.734 eV per atom
VASP energy ... -4.18 eV/atom

Unit cell a=4.9405 b=4.9405 c=4.9405 alpha=90.00 beta=90.00 gamma=90.00
Last column: nearest neighbours and their distance in Å.
Sites, in units of the cell vectors:
Ga: 0.0000 0.0000 0.5000  2 Mo 2.47
Ga: 0.0000 0.5000 0.0000  2 Mo 2.47
Ga: 0.5000 0.0000 0.0000  2 Mo 2.47
Mo: 0.0000 0.0000 0.0000  6 Ga 2.47
As: 0.5000 0.5000 0.5000  12 Ga 3.49


A plane-wave DFT calculation with PBE was carried out for a geometry-optimized GaMo2As structure.

Summary:
Volume ... 15.32 A^3/atom
D(E_F) ... 8.49 states/eV/f.u.
Energy relative to the lowest polymorph listed for this composition ... 0.00 kcal/mol of atoms
Total moment ... 0.00 μB/f.u.
Space group ... Fm-3m (225)
E_form ... 0.114 eV per atom
VASP energy ... -7.22 eV/atom

Unit cell a=4.4255 b=4.4255 c=4.4255 alpha=60.00 beta=60.00 gamma=60.00
Last column: nearest neighbours and their distance in Å.
Sites, in units of the cell vectors:
Ga: 0.0000 0.0000 0.0000  8 Mo 2.71
Mo: 0.2500 0.2500 0.2500  4 As 2.71, 4 Ga 2.71
Mo: 0.7500 0.7500 0.7500  4 As 2.71, 4 Ga 2.71
As: 0.5000 0.5000 0.5000  8 Mo 2.71


A plane-wave DFT calculation with PBE was carried out for a geometry-optimized GaMoAs2 structure.

Summary:
Volume ... 19.24 A^3/atom
D(E_F) ... 4.03 states/eV/f.u.
Total moment ... 0.00 μB/f.u.
Space group ... R-3m (166)
E_form ... 0.663 eV per atom
VASP energy ... -5.13 eV/atom

Unit cell a=8.6966 b=8.6966 c=8.6966 alpha=21.44 beta=21.44 gamma=21.44
Last column: nearest neighbours and their distance in Å.
Sites, in units of the cell vectors:
Ga: 0.0000 0.0000 0.0000  6 As 2.60
Mo: 0.5000 0.5000 0.5000  2 As 2.44
As: 0.4044 0.4044 0.4044  1 Mo 2.44, 3 Ga 2.60
As: 0.5956 0.5956 0.5956  1 Mo 2.44, 3 Ga 2.60


A plane-wave DFT calculation with PBE was carried out for a geometry-optimized Ga2MoAsPd structure.

Summary:
Volume ... 22.95 A^3/atom
D(E_F) ... 2.90 states/eV/f.u.
Total moment ... 0.00 μB/f.u.
Space group ... P4/mmm (123)
E_form ... 0.867 eV per atom
VASP energy ... -4.48 eV/atom

Unit cell a=4.8642 b=4.8642 c=4.8497 alpha=90.00 beta=90.00 gamma=90.00
Last column: nearest neighbours and their distance in Å.
Sites, in units of the cell vectors:
Ga: 0.0000 0.5000 0.0000  2 Mo 2.43
Ga: 0.5000 0.0000 0.0000  2 Mo 2.43
Mo: 0.0000 0.0000 0.0000  2 Pd 2.42, 4 Ga 2.43
As: 0.5000 0.5000 0.5000  8 Ga 3.43, 4 Pd 3.44
Pd: 0.0000 0.0000 0.5000  2 Mo 2.42


A plane-wave DFT calculation with PBE was carried out for a geometry-optimized GaMo2AsPd structure.

Summary:
Volume ... 19.71 A^3/atom
D(E_F) ... 3.43 states/eV/f.u.
Total moment ... 0.00 μB/f.u.
Space group ... P4/mmm (123)
E_form ... 0.829 eV per atom
VASP energy ... -6.08 eV/atom

Unit cell a=4.6594 b=4.6594 c=4.5393 alpha=90.00 beta=90.00 gamma=90.00
Last column: nearest neighbours and their distance in Å.
Sites, in units of the cell vectors:
Ga: 0.0000 0.0000 0.0000  8 Mo 3.25, 4 Pd 3.29
Mo: 0.0000 0.5000 0.5000  2 As 2.33
Mo: 0.5000 0.0000 0.5000  2 As 2.33
As: 0.5000 0.5000 0.5000  2 Pd 2.27, 4 Mo 2.33
Pd: 0.5000 0.5000 0.0000  2 As 2.27